No. 1
The following is a PBE calculation of an optimized crystal structure of KYTi2Mo, from Alexandria.

```
5
Lattice="4.7162 0.0000 0.0000 0.0000 4.7162 0.0000 0.0000 0.0000 4.7960" Properties=species:S:1:pos:R:3 pbc="T T T"
K 0.0000 0.0000 0.0000
Y 2.3581 2.3581 2.3980
Ti 0.0000 2.3581 0.0000
Ti 2.3581 0.0000 0.0000
Mo 0.0000 0.0000 2.3980
```

Output
* theoretical density: 4.98 g/cm3
* space-group type: P4/mmm (123)
* calculated formation energy: 9.62 eV per formula unit
* V: 21.335 Å³/atom


No. 2
The following is a PBE calculation of an optimized crystal structure of ZnInPt2, from Alexandria.

```
12
Lattice="3.0545 0.0000 0.0000 -1.5272 2.6452 0.0000 0.0000 0.0000 25.1183" Properties=species:S:1:pos:R:3 pbc="T T T"
Zn 0.0000 0.0000 0.0000
Zn 0.0000 1.7635 16.7456
Zn 1.5272 0.8817 8.3728
In 0.0000 0.0000 12.5592
In 0.0000 1.7635 4.1864
In 1.5272 0.8817 20.9319
Pt 0.0000 0.0000 6.3930
Pt 0.0000 0.0000 18.7253
Pt 0.0000 1.7635 10.3525
Pt 0.0000 1.7635 23.1386
Pt 1.5272 0.8817 1.9798
Pt 1.5272 0.8817 14.7658
```

Output
* theoretical density: 14.00 g/cm3
* space-group type: R-3m (166)
* calculated formation energy: -1.22 eV per formula unit
* V: 16.913 Å³/atom